! Ce3Th2Tc2 (GGA-PBE, relaxed); values from VASP
&SYSTEM
  ibrav = 0, nat = 7, ntyp = 3
/
ATOMIC_SPECIES
Th 232.04 Th.upf
Ce 140.12 Ce.upf
Tc 98.00 Tc.upf
CELL_PARAMETERS angstrom
-1.653 3.069 1.476
-0.580 0.248 -6.085
-5.461 -6.439 2.411
ATOMIC_POSITIONS crystal
Th 0.355 0.520 0.185
Th 0.645 0.480 0.815
Ce 0.500 0.000 0.000
Ce 0.177 0.791 0.562
Ce 0.823 0.209 0.438
Tc 0.908 0.055 0.771
Tc 0.092 0.945 0.229
! - Calculated total energy: -7.7152 eV/atom
! - SG: P-1 (2)
! - Energy of formation: -0.090 eV/atom
! - M_tot: 0.000 μB/atom
! - Volume: 178 Å³ per cell